Entry from Alexandria via LeMat-Bulk: an optimized crystal structure of Rb2CaPbF6 (PBE-GGA).

Properties
Energy above the most stable polymorph in this dataset   0.000 eV per atom
M_tot   0.000 μB per atom
Raw formation energy   -287.4 kJ per mole of atoms
Raw total energy   -0.17881 hartree per atom
Fermi-level density of states   0.00 states/eV/f.u.

a b c (Å): 9.370 9.370 9.370
angles (deg): 90.00 90.00 90.00
Space group Fm-3m (No. 225)
One atom of each set of equivalent atoms:
1 Rb 0.250 0.250 0.250 (multiplicity 8)
2 Ca 0.000 0.000 0.000 (multiplicity 4)
3 Pb 0.000 0.000 0.500 (multiplicity 4)
4 F 0.000 0.000 0.240 (multiplicity 24)

=====

Entry from Alexandria via LeMat-Bulk: an optimized crystal structure of CsYSiO2 (PBE-GGA).

Properties
M_tot   0.000 μB per atom
Raw formation energy   63.4 kJ per mole of atoms
Raw total energy   -0.14239 hartree per atom
Fermi-level density of states   3.66 states/eV/f.u.

a b c (Å): 4.415 4.415 6.407
angles (deg): 90.00 90.00 90.00
Space group P4/mmm (No. 123)
One atom of each set of equivalent atoms:
1 Cs 0.000 0.000 0.000 (multiplicity 1)
2 Y 0.000 0.000 0.500 (multiplicity 1)
3 Si 0.500 0.500 0.500 (multiplicity 1)
4 O 0.000 0.500 0.000 (multiplicity 2)

=====

Entry from Alexandria via LeMat-Bulk: an optimized crystal structure of Ac4SnIrI2 (PBE-GGA).

Properties
M_tot   0.000 μB per atom
Raw formation energy   -90.9 kJ per mole of atoms
Raw total energy   -0.18344 hartree per atom
Fermi-level density of states   5.07 states/eV/f.u.

a b c (Å): 8.323 4.523 8.800
angles (deg): 90.00 106.63 90.00
Space group P2/m (No. 10)
One atom of each set of equivalent atoms:
1 Ac 0.207 0.000 0.188 (multiplicity 2)
2 Ac 0.234 0.500 0.804 (multiplicity 2)
3 Sn 0.500 0.000 0.000 (multiplicity 1)
4 Ir 0.000 0.500 0.000 (multiplicity 1)
5 I 0.000 0.000 0.500 (multiplicity 1)
6 I 0.500 0.500 0.500 (multiplicity 1)

=====

Entry from Alexandria via LeMat-Bulk: an optimized crystal structure of ReAuSeN2 (PBE-GGA).

Properties
Energy above the most stable polymorph in this dataset   0.000 eV per atom
M_tot   0.000 μB per atom
Raw formation energy   49.5 kJ per mole of atoms
Raw total energy   -0.24471 hartree per atom
Fermi-level density of states   2.40 states/eV/f.u.

a b c (Å): 3.817 3.817 5.641
angles (deg): 90.00 90.00 90.00
Space group P4/mmm (No. 123)
One atom of each set of equivalent atoms:
1 Re 0.000 0.000 0.000 (multiplicity 1)
2 Au 0.500 0.500 0.500 (multiplicity 1)
3 Se 0.000 0.000 0.500 (multiplicity 1)
4 N 0.000 0.500 0.000 (multiplicity 2)

=====

Entry from Alexandria via LeMat-Bulk: an optimized crystal structure of AsW2Cl (PBE-GGA).

Properties
Energy above the most stable polymorph in this dataset   1.066 eV per atom
M_tot   0.000 μB per atom
Raw formation energy   101.7 kJ per mole of atoms
Raw total energy   -0.25897 hartree per atom
Fermi-level density of states   4.26 states/eV/f.u.

a b c (Å): 6.459 6.459 6.459
angles (deg): 90.00 90.00 90.00
Space group F-43m (No. 216)
One atom of each set of equivalent atoms:
1 As 0.000 0.000 0.000 (multiplicity 4)
2 W 0.000 0.000 0.500 (multiplicity 4)
3 W 0.250 0.250 0.250 (multiplicity 4)
4 Cl 0.250 0.250 0.750 (multiplicity 4)

=====

Entry from Alexandria via LeMat-Bulk: an optimized crystal structure of NbTlPb2O5 (PBE-GGA).

Properties
M_tot   0.000 μB per atom
Raw formation energy   -148.3 kJ per mole of atoms
Raw total energy   -0.23879 hartree per atom
Fermi-level density of states   0.00 states/eV/f.u.

a b c (Å): 4.066 6.388 11.807
angles (deg): 90.00 90.00 90.00
Space group Immm (No. 71)
One atom of each set of equivalent atoms:
1 Nb 0.000 0.000 0.000 (multiplicity 2)
2 Tl 0.000 0.000 0.500 (multiplicity 2)
3 Pb 0.000 0.500 0.272 (multiplicity 4)
4 O 0.000 0.216 0.126 (multiplicity 8)
5 O 0.000 0.500 0.500 (multiplicity 2)

=====

Entry from Alexandria via LeMat-Bulk: an optimized crystal structure of Ac6Al2Zn (PBE-GGA).

Properties
Formation enthalpy at 0 K   -133 meV per atom
Energy above the most stable polymorph in this dataset   0.000 eV per atom
M_tot   0.000 μB per atom
Raw total energy   -0.14131 hartree per atom
Fermi-level density of states   11.48 states/eV/f.u.

a b c (Å): 10.685 10.918 11.272
angles (deg): 90.00 90.00 90.00
Space group Immm (No. 71)
One atom of each set of equivalent atoms:
1 Ac 0.000 0.210 0.174 (multiplicity 8)
2 Ac 0.175 0.240 0.500 (multiplicity 8)
3 Ac 0.198 0.500 0.248 (multiplicity 8)
4 Al 0.000 0.000 0.384 (multiplicity 4)
5 Al 0.135 0.000 0.000 (multiplicity 4)
6 Zn 0.000 0.500 0.000 (multiplicity 2)
7 Zn 0.000 0.500 0.500 (multiplicity 2)

=====

Entry from Alexandria via LeMat-Bulk: an optimized crystal structure of NbFeH (PBE-GGA).

Properties
Energy above the most stable polymorph in this dataset   0.000 eV per atom
M_tot   0.000 μB per atom
Raw total energy   -0.26977 hartree per atom
Fermi-level density of states   1.38 states/eV/f.u.

a b c (Å): 9.861 3.100 4.180
angles (deg): 90.00 90.96 90.00
Space group C2/m (No. 12)
One atom of each set of equivalent atoms:
1 Nb 0.133 0.000 0.275 (multiplicity 4)
2 Fe 0.080 0.500 0.741 (multiplicity 4)
3 H 0.198 0.500 0.005 (multiplicity 4)

=====

Entry from Alexandria via LeMat-Bulk: an optimized crystal structure of MgSc2Ag (PBE-GGA).

Properties
Formation enthalpy at 0 K   -27 meV per atom
M_tot   0.000 μB per atom
Raw total energy   -0.15816 hartree per atom
Fermi-level density of states   5.16 states/eV/f.u.

a b c (Å): 4.328 4.328 9.138
angles (deg): 90.00 90.00 90.00
Space group I-4m2 (No. 119)
One atom of each set of equivalent atoms:
1 Mg 0.000 0.000 0.000 (multiplicity 2)
2 Sc 0.000 0.000 0.500 (multiplicity 2)
3 Sc 0.000 0.500 0.750 (multiplicity 2)
4 Ag 0.000 0.500 0.250 (multiplicity 2)

=====

Entry from Alexandria via LeMat-Bulk: an optimized crystal structure of Pu3Al9Si2 (PBE-GGA).

Properties
M_tot   0.389 μB per atom
Raw formation energy   -21.9 kJ per mole of atoms
Raw total energy   -0.23808 hartree per atom
Fermi-level density of states   26.82 states/eV/f.u.

a b c (Å): 4.432 9.929 11.904
angles (deg): 90.00 90.00 90.00
Space group Immm (No. 71)
One atom of each set of equivalent atoms:
1 Pu 0.000 0.000 0.000 (multiplicity 2)
2 Pu 0.000 0.000 0.309 (multiplicity 4)
3 Al 0.000 0.273 0.137 (multiplicity 8)
4 Al 0.000 0.370 0.346 (multiplicity 8)
5 Al 0.000 0.500 0.000 (multiplicity 2)
6 Si 0.000 0.193 0.500 (multiplicity 4)

=====

Entry from Alexandria via LeMat-Bulk: an optimized crystal structure of Rb3VFe (PBE-GGA).

Properties
Formation enthalpy at 0 K   1554 meV per atom
M_tot   0.393 μB per atom
Raw total energy   -0.09344 hartree per atom
Fermi-level density of states   13.66 states/eV/f.u.

a b c (Å): 6.792 6.792 6.792
angles (deg): 90.00 90.00 90.00
Space group Pm-3m (No. 221)
One atom of each set of equivalent atoms:
1 Rb 0.000 0.000 0.500 (multiplicity 3)
2 V 0.000 0.000 0.000 (multiplicity 1)
3 Fe 0.500 0.500 0.500 (multiplicity 1)

=====

Entry from Alexandria via LeMat-Bulk: an optimized crystal structure of NpAlFe2Ge4 (PBE-GGA).

Properties
Formation enthalpy at 0 K   181 meV per atom
M_tot   0.932 μB per atom
Raw total energy   -0.23259 hartree per atom
Fermi-level density of states   10.31 states/eV/f.u.

a b c (Å): 3.614 3.614 10.772
angles (deg): 90.00 90.00 90.00
Space group P4/mmm (No. 123)
One atom of each set of equivalent atoms:
1 Np 0.000 0.000 0.000 (multiplicity 1)
2 Al 0.000 0.000 0.500 (multiplicity 1)
3 Fe 0.500 0.500 0.392 (multiplicity 2)
4 Ge 0.000 0.500 0.227 (multiplicity 4)

=====

Entry from Alexandria via LeMat-Bulk: an optimized crystal structure of Be2Tl2SeO6 (PBE-GGA).

Properties
M_tot   0.000 μB per atom
Raw formation energy   -118.5 kJ per mole of atoms
Raw total energy   -0.19689 hartree per atom

a b c (Å): 5.1821 5.1821 20.4433
angles (deg): 90.00 90.00 120.00
Space group R-3m (No. 166, hexagonal axes)
One atom of each set of equivalent atoms:
1 Be 0.0000 0.0000 0.1236 (multiplicity 6)
2 Tl 0.0000 0.0000 0.2834 (multiplicity 6)
3 Se 0.0000 0.0000 0.5000 (multiplicity 3)
4 O 0.0083 0.5041 0.2198 (multiplicity 18)

=====

Entry from Alexandria via LeMat-Bulk: an optimized crystal structure of HfCd3Pt (PBE-GGA).

Properties
Formation enthalpy at 0 K   568 meV per atom
Energy above the most stable polymorph in this dataset   0.000 eV per atom
M_tot   0.000 μB per atom
Raw total energy   -0.11685 hartree per atom
Fermi-level density of states   3.86 states/eV/f.u.

a b c (Å): 5.070 5.070 5.070
angles (deg): 90.00 90.00 90.00
Space group Pm-3m (No. 221)
One atom of each set of equivalent atoms:
1 Hf 0.000 0.000 0.000 (multiplicity 1)
2 Cd 0.000 0.500 0.500 (multiplicity 3)
3 Pt 0.500 0.500 0.500 (multiplicity 1)

=====

Entry from Alexandria via LeMat-Bulk: an optimized crystal structure of Ac3Tl3In2 (PBE-GGA).

Properties
Formation enthalpy at 0 K   -310 meV per atom
Energy above the most stable polymorph in this dataset   0.072 eV per atom
M_tot   0.000 μB per atom
Raw total energy   -0.12580 hartree per atom
Fermi-level density of states   4.88 states/eV/f.u.

a b c (Å): 5.233 12.140 16.532
angles (deg): 90.00 90.00 90.00
Space group Cmcm (No. 63)
One atom of each set of equivalent atoms:
1 Ac 0.000 0.034 0.250 (multiplicity 4)
2 Ac 0.000 0.148 0.531 (multiplicity 8)
3 Tl 0.000 0.266 0.750 (multiplicity 4)
4 Tl 0.000 0.446 0.594 (multiplicity 8)
5 In 0.000 0.317 0.158 (multiplicity 8)

=====

Entry from Alexandria via LeMat-Bulk: an optimized crystal structure of Zn2PtI (PBE-GGA).

Properties
Energy above the most stable polymorph in this dataset   0.000 eV per atom
M_tot   0.000 μB per atom
Raw formation energy   3.0 kJ per mole of atoms
Raw total energy   -0.09200 hartree per atom
Fermi-level density of states   0.44 states/eV/f.u.

a b c (Å): 5.479 5.479 14.593
angles (deg): 90.00 90.00 90.00
Space group I-42d (No. 122)
One atom of each set of equivalent atoms:
1 Zn 0.163 0.250 0.125 (multiplicity 8)
2 Pt 0.000 0.000 0.000 (multiplicity 4)
3 I 0.000 0.000 0.500 (multiplicity 4)

=====

Entry from Alexandria via LeMat-Bulk: an optimized crystal structure of Ba3CaTe4 (PBE-GGA).

Properties
Energy above the most stable polymorph in this dataset   0.004 eV per atom
M_tot   0.000 μB per atom
Raw formation energy   -166.2 kJ per mole of atoms
Raw total energy   -0.15673 hartree per atom
Fermi-level density of states   0.00 states/eV/f.u.

a b c (Å): 9.801 13.855 4.900
angles (deg): 90.00 90.00 90.00
Space group Cmmm (No. 65)
One atom of each set of equivalent atoms:
1 Ba 0.000 0.000 0.000 (multiplicity 2)
2 Ba 0.250 0.250 0.500 (multiplicity 4)
3 Ca 0.000 0.500 0.000 (multiplicity 2)
4 Te 0.000 0.259 0.000 (multiplicity 4)
5 Te 0.233 0.500 0.500 (multiplicity 4)

=====

Entry from Alexandria via LeMat-Bulk: an optimized crystal structure of Mg5W (PBE-GGA).

Properties
Formation enthalpy at 0 K   610 meV per atom
Energy above the most stable polymorph in this dataset   0.378 eV per atom
M_tot   0.558 μB per atom
Raw total energy   -0.10574 hartree per atom
Fermi-level density of states   4.58 states/eV/f.u.

a b c (Å): 7.918 7.918 7.918
angles (deg): 90.00 90.00 90.00
Space group F-43m (No. 216)
One atom of each set of equivalent atoms:
1 Mg 0.000 0.000 0.000 (multiplicity 4)
2 Mg 0.124 0.124 0.376 (multiplicity 16)
3 W 0.250 0.250 0.750 (multiplicity 4)

=====

Entry from Alexandria via LeMat-Bulk: an optimized crystal structure of K3Ag2TeO6 (PBE-GGA).

Properties
M_tot   0.040 μB per atom
Raw formation energy   -96.0 kJ per mole of atoms
Raw total energy   -0.16484 hartree per atom
Fermi-level density of states   6.88 states/eV/f.u.

a b c (Å): 5.884 10.747 6.189
angles (deg): 90.00 105.24 90.00
Space group C2/m (No. 12)
One atom of each set of equivalent atoms:
1 K 0.000 0.000 0.000 (multiplicity 2)
2 K 0.000 0.318 0.000 (multiplicity 4)
3 Ag 0.000 0.155 0.500 (multiplicity 4)
4 Te 0.000 0.500 0.500 (multiplicity 2)
5 O 0.187 0.500 0.281 (multiplicity 4)
6 O 0.210 0.368 0.675 (multiplicity 8)

=====

Entry from Alexandria via LeMat-Bulk: an optimized crystal structure of PSO (PBE-GGA).

Properties
Energy above the most stable polymorph in this dataset   0.873 eV per atom
M_tot   0.000 μB per atom
Raw formation energy   -1.5 kJ per mole of atoms
Raw total energy   -0.17815 hartree per atom
Fermi-level density of states   0.59 states/eV/f.u.

a b c (Å): 3.155 3.648 4.981
angles (deg): 82.96 86.23 77.28
Space group P1 (No. 1)
One atom of each set of equivalent atoms:
1 P 0.000 0.000 0.000 (multiplicity 1)
2 S 0.571 0.638 0.200 (multiplicity 1)
3 O 0.549 0.555 0.499 (multiplicity 1)

=====

Entry from Alexandria via LeMat-Bulk: an optimized crystal structure of K2Bi2Ir (PBE-GGA).

Properties
Formation enthalpy at 0 K   -71 meV per atom
M_tot   0.000 μB per atom
Raw total energy   -0.14093 hartree per atom
Fermi-level density of states   3.51 states/eV/f.u.

a b c (Å): 7.217 7.217 5.991
angles (deg): 90.00 90.00 90.00
Space group P4/mbm (No. 127)
One atom of each set of equivalent atoms:
1 K 0.176 0.324 0.000 (multiplicity 4)
2 Bi 0.151 0.651 0.500 (multiplicity 4)
3 Ir 0.000 0.000 0.500 (multiplicity 2)

=====

Entry from Alexandria via LeMat-Bulk: an optimized crystal structure of SiGePd5 (PBE-GGA).

Properties
M_tot   0.000 μB per atom
Raw formation energy   -16.0 kJ per mole of atoms
Raw total energy   -0.19512 hartree per atom
Fermi-level density of states   2.47 states/eV/f.u.

a b c (Å): 9.624 7.577 8.187
angles (deg): 90.00 116.67 90.00
Space group C2/c (No. 15)
One atom of each set of equivalent atoms:
1 Si 0.000 0.040 0.250 (multiplicity 4)
2 Ge 0.000 0.500 0.000 (multiplicity 4)
3 Pd 0.000 0.342 0.250 (multiplicity 4)
4 Pd 0.074 0.167 0.999 (multiplicity 8)
5 Pd 0.231 0.083 0.777 (multiplicity 8)

=====

Entry from Alexandria via LeMat-Bulk: an optimized crystal structure of Nd5ErN6 (PBE-GGA).

Properties
M_tot   0.000 μB per atom
Raw formation energy   -136.0 kJ per mole of atoms
Raw total energy   -0.29175 hartree per atom
Fermi-level density of states   0.65 states/eV/f.u.

a b c (Å): 6.267 10.855 6.264
angles (deg): 90.00 109.47 90.00
Space group C2/m (No. 12)
One atom of each set of equivalent atoms:
1 Nd 0.000 0.000 0.000 (multiplicity 2)
2 Nd 0.000 0.167 0.500 (multiplicity 4)
3 Nd 0.000 0.335 0.000 (multiplicity 4)
4 Er 0.000 0.500 0.500 (multiplicity 2)
5 N 0.243 0.500 0.254 (multiplicity 4)
6 N 0.244 0.338 0.745 (multiplicity 8)